Density functional theory data (PBE-GGA) for a relaxed structure of AcLa2NdDy5.

Properties
Crystal system: tetragonal
Space-group type: I4/mcm (140)
Energy relative to the elements: 0.236 eV per atom
N(E_F): 1.18 states/eV/atom

Unit cell a=10.1527 b=10.1527 c=10.1527 alpha=128.49 beta=128.49 gamma=75.83
With the nearest neighbours (Å) after each atom.
Positions (direct):
1 Ac 0.2500 0.2500 0.0000  10 Dy 3.65-4.00
2 Ac 0.7500 0.7500 0.0000  10 Dy 3.65-4.00
3 La 0.1176 0.6176 0.7352  1 La 2.93, 2 Dy 3.05
4 La 0.3824 0.1176 0.5000  1 La 2.93, 2 Dy 3.05
5 La 0.6176 0.8824 0.5000  1 La 2.93, 2 Dy 3.05
6 La 0.8824 0.3824 0.2648  1 La 2.93, 2 Dy 3.05
7 Nd 0.2500 0.7500 0.5000  4 Dy 3.20
8 Nd 0.7500 0.2500 0.5000  4 Dy 3.20
9 Dy 0.0000 0.0000 0.0000  4 La 3.53, 8 Dy 3.83
10 Dy 0.0747 0.1540 0.5000  1 La 3.05, 1 Nd 3.20
11 Dy 0.1540 0.6540 0.0793  1 La 3.05, 1 Nd 3.20
12 Dy 0.3460 0.4253 0.5000  1 La 3.05, 1 Nd 3.20
13 Dy 0.4253 0.9253 0.0793  1 La 3.05, 1 Nd 3.20
14 Dy 0.5000 0.5000 0.0000  4 La 3.53, 8 Dy 3.83
15 Dy 0.5747 0.0747 0.9207  1 La 3.05, 1 Nd 3.20
16 Dy 0.6540 0.5747 0.5000  1 La 3.05, 1 Nd 3.20
17 Dy 0.8460 0.3460 0.9207  1 La 3.05, 1 Nd 3.20
18 Dy 0.9253 0.8460 0.5000  1 La 3.05, 1 Nd 3.20


Density functional theory data (PBE-GGA) for a relaxed structure of Sm5DyHo2Sc.

Properties
Crystal system: orthorhombic
Space-group type: Cmc2_1 (36)
Energy relative to the elements: 0.159 eV per atom
N(E_F): 1.63 states/eV/atom

Unit cell a=10.5600 b=10.5600 c=10.3976 alpha=90.00 beta=90.00 gamma=149.58
With the nearest neighbours (Å) after each atom.
Positions (direct):
1 Sm 0.0135 0.9865 0.5000  2 Dy 3.19-3.37, 2 Ho 3.48
2 Sm 0.1263 0.8737 0.7745  4 Ho 3.58-3.60, 6 Sm 3.58-3.99, 1 Sc 3.64
3 Sm 0.2018 0.7982 0.4634  1 Dy 3.33, 3 Sm 3.36-3.58, 2 Sc 3.42, 3 Ho 3.46-3.73
4 Sm 0.2254 0.7746 0.0765  1 Dy 3.03, 1 Ho 3.31, 2 Sm 3.36
5 Sm 0.4853 0.5147 0.7675  2 Dy 3.27, 4 Ho 3.37-3.63
6 Sm 0.5147 0.4853 0.2675  2 Dy 3.27, 4 Ho 3.37-3.63
7 Sm 0.7746 0.2254 0.5765  1 Dy 3.03, 1 Ho 3.31, 2 Sm 3.36
8 Sm 0.7982 0.2018 0.9634  1 Dy 3.33, 3 Sm 3.36-3.58, 2 Sc 3.42, 3 Ho 3.46-3.73
9 Sm 0.8737 0.1263 0.2745  4 Ho 3.58-3.60, 6 Sm 3.58-3.99, 1 Sc 3.64
10 Sm 0.9865 0.0135 0.0000  2 Dy 3.19-3.37, 2 Ho 3.48
11 Dy 0.0958 0.9042 0.2192  6 Sm 3.03-3.37
12 Dy 0.9042 0.0958 0.7192  6 Sm 3.03-3.37
13 Ho 0.3842 0.6158 0.4947  1 Sc 3.29, 6 Sm 3.51-3.66, 2 Dy 3.65
14 Ho 0.3878 0.6122 0.0590  9 Sm 3.31-3.63, 1 Sc 3.45
15 Ho 0.6122 0.3878 0.5590  9 Sm 3.31-3.63, 1 Sc 3.45
16 Ho 0.6158 0.3842 0.9947  1 Sc 3.29, 6 Sm 3.51-3.66, 2 Dy 3.65
17 Sc 0.3047 0.6953 0.7703  2 Ho 3.29-3.45, 7 Sm 3.42-3.68, 2 Dy 3.47
18 Sc 0.6953 0.3047 0.2703  2 Ho 3.29-3.45, 7 Sm 3.42-3.68, 2 Dy 3.47


Density functional theory data (PBE-GGA) for a relaxed structure of CsYMo3.

Properties
Crystal system: cubic
Space-group type: Pm-3m (221)
Excess energy over the best structure of this formula in the dataset: 43 meV per atom
Energy relative to the elements: 2.645 eV per atom
N(E_F): 1.54 states/eV/atom

Unit cell a=5.1612 b=5.1612 c=5.1612 alpha=90.00 beta=90.00 gamma=90.00
With the nearest neighbours (Å) after each atom.
Positions (direct):
1 Cs 0.0000 0.0000 0.0000  12 Mo 3.65
2 Y 0.5000 0.5000 0.5000  6 Mo 2.58
3 Mo 0.0000 0.5000 0.5000  2 Y 2.58
4 Mo 0.5000 0.0000 0.5000  2 Y 2.58
5 Mo 0.5000 0.5000 0.0000  2 Y 2.58


Density functional theory data (PBE-GGA) for a relaxed structure of LaPuCo.

Properties
Crystal system: hexagonal
Space-group type: P-6m2 (187)
Excess energy over the best structure of this formula in the dataset: 121 meV per atom
Energy relative to the elements: 0.104 eV per atom
N(E_F): 2.78 states/eV/atom

Unit cell a=4.2657 b=4.2657 c=4.6359 alpha=90.00 beta=90.00 gamma=120.00
With the nearest neighbours (Å) after each atom.
Positions (direct):
1 La 0.0000 0.0000 0.0000  6 Co 3.38, 6 Pu 3.38
2 Pu 0.3333 0.6667 0.5000  3 Co 2.46
3 Co 0.6667 0.3333 0.5000  3 Pu 2.46


Density functional theory data (PBE-GGA) for a relaxed structure of RbSbP.

Properties
Crystal system: monoclinic
Space-group type: P2/m (10)
Excess energy over the best structure of this formula in the dataset: 1 meV per atom
Uncorrected formation energy: -282 meV per atom

Unit cell a=6.7923 b=3.8452 c=8.3720 alpha=90.00 beta=102.58 gamma=90.00
With the nearest neighbours (Å) after each atom.
Positions (direct):
1 Rb 0.1645 0.0000 0.2951  2 P 3.50-3.54, 2 Rb 3.85, 2 Sb 3.85
2 Rb 0.8355 0.0000 0.7049  2 P 3.50-3.54, 2 Rb 3.85, 2 Sb 3.85
3 Sb 0.3506 0.5000 0.7264  2 P 2.59
4 Sb 0.6494 0.5000 0.2736  2 P 2.59
5 P 0.3398 0.0000 0.9315  1 P 2.23
6 P 0.6602 0.0000 0.0685  1 P 2.23


Density functional theory data (PBE-GGA) for a relaxed structure of AlCrPt3.

Properties
Crystal system: cubic
Space-group type: Pm-3m (221)
Excess energy over the best structure of this formula in the dataset: 0 meV per atom
Energy relative to the elements: 0.792 eV per atom
N(E_F): 1.44 states/eV/atom

Unit cell a=4.5173 b=4.5173 c=4.5173 alpha=90.00 beta=90.00 gamma=90.00
With the nearest neighbours (Å) after each atom.
Positions (direct):
1 Al 0.0000 0.0000 0.0000  6 Pt 2.26
2 Cr 0.5000 0.5000 0.5000  12 Pt 3.19
3 Pt 0.0000 0.0000 0.5000  2 Al 2.26
4 Pt 0.0000 0.5000 0.0000  2 Al 2.26
5 Pt 0.5000 0.0000 0.0000  2 Al 2.26


Density functional theory data (PBE-GGA) for a relaxed structure of Hg2IrPb.

Properties
Crystal system: orthorhombic
Space-group type: Pmmm (47)
Energy relative to the elements: 0.495 eV per atom
N(E_F): 0.48 states/eV/atom

Unit cell a=3.2383 b=5.1292 c=5.2493 alpha=90.00 beta=90.00 gamma=90.00
With the nearest neighbours (Å) after each atom.
Positions (direct):
1 Hg 0.0000 0.0000 0.0000  6 Hg 3.03-3.24, 4 Pb 3.08
2 Hg 0.5000 0.5000 0.0000  6 Hg 3.03-3.24, 4 Ir 3.08
3 Ir 0.0000 0.5000 0.5000  4 Pb 3.03, 4 Hg 3.08, 2 Ir 3.24
4 Pb 0.5000 0.0000 0.5000  4 Ir 3.03, 4 Hg 3.08, 2 Pb 3.24


Density functional theory data (PBE-GGA) for a relaxed structure of AcBi2Pt.

Properties
Crystal system: tetragonal
Space-group type: P4/mmm (123)
Excess energy over the best structure of this formula in the dataset: 225 meV per atom
Energy relative to the elements: -0.443 eV per atom
N(E_F): 0.72 states/eV/atom

Unit cell a=4.8190 b=4.8190 c=4.8928 alpha=90.00 beta=90.00 gamma=90.00
With the nearest neighbours (Å) after each atom.
Positions (direct):
1 Ac 0.0000 0.0000 0.0000  4 Pt 3.41, 8 Bi 3.43
2 Bi 0.0000 0.5000 0.5000  4 Bi 3.41, 4 Pt 3.43, 4 Ac 3.43
3 Bi 0.5000 0.0000 0.5000  4 Bi 3.41, 4 Pt 3.43, 4 Ac 3.43
4 Pt 0.5000 0.5000 0.0000  4 Ac 3.41, 8 Bi 3.43


Density functional theory data (PBE-GGA) for a relaxed structure of Rb2LaTa.

Properties
Crystal system: cubic
Space-group type: Fm-3m (225)
Excess energy over the best structure of this formula in the dataset: 406 meV per atom
Energy relative to the elements: 1.762 eV per atom
N(E_F): 1.91 states/eV/atom

Unit cell a=6.1061 b=6.1061 c=6.1061 alpha=60.00 beta=60.00 gamma=60.00
With the nearest neighbours (Å) after each atom.
Positions (direct):
1 Rb 0.2500 0.2500 0.2500  4 Ta 3.74, 4 La 3.74
2 Rb 0.7500 0.7500 0.7500  4 Ta 3.74, 4 La 3.74
3 La 0.0000 0.0000 0.0000  8 Rb 3.74
4 Ta 0.5000 0.5000 0.5000  8 Rb 3.74


Density functional theory data (PBE-GGA) for a relaxed structure of CsReO3.

Properties
Crystal system: orthorhombic
Space-group type: Immm (71)
Uncorrected formation energy: -1413 meV per atom

Unit cell a=7.2738 b=7.2738 c=7.2738 alpha=128.81 beta=100.77 gamma=100.74
With the nearest neighbours (Å) after each atom.
Positions (direct):
1 Cs 0.2247 0.0000 0.2247  6 O 3.32-3.35
2 Cs 0.7753 0.0000 0.7753  6 O 3.32-3.35
3 Re 0.3533 0.3533 0.0000  4 O 1.79-1.95
4 Re 0.6467 0.6467 0.0000  4 O 1.79-1.95
5 O 0.2342 0.0110 0.7768  1 Re 1.79
6 O 0.2342 0.4574 0.2232  1 Re 1.79
7 O 0.3492 0.5000 0.8492  2 Re 1.95
8 O 0.6508 0.5000 0.1508  2 Re 1.95
9 O 0.7658 0.5426 0.7768  1 Re 1.79
10 O 0.7658 0.9890 0.2232  1 Re 1.79


Density functional theory data (PBE-GGA) for a relaxed structure of K2ZrCr.

Properties
Crystal system: monoclinic
Space-group type: C2/m (12)
Excess energy over the best structure of this formula in the dataset: 434 meV per atom
Energy relative to the elements: 1.112 eV per atom
N(E_F): 1.12 states/eV/atom

Unit cell a=7.2985 b=7.2985 c=3.2707 alpha=101.98 beta=101.98 gamma=128.47
With the nearest neighbours (Å) after each atom.
Positions (direct):
1 K 0.0000 0.5000 0.0000  6 K 3.17-3.29
2 K 0.5000 0.0000 0.0000  6 K 3.17-3.29
3 Zr 0.0000 0.0000 0.5000  4 Cr 3.17-3.29, 2 Zr 3.27
4 Cr 0.5000 0.5000 0.5000  4 Zr 3.17-3.29, 2 Cr 3.27


Density functional theory data (PBE-GGA) for a relaxed structure of MoIr2Se.

Properties
Crystal system: monoclinic
Space-group type: C2/m (12)
N(E_F): 0.67 states/eV/atom
Uncorrected formation energy: 145 meV per atom

Unit cell a=5.0295 b=5.0295 c=4.5023 alpha=91.62 beta=91.62 gamma=33.17
With the nearest neighbours (Å) after each atom.
Positions (direct):
1 Mo 0.0000 0.0000 0.0000  4 Se 2.67, 6 Ir 2.81-2.87, 2 Mo 2.87
2 Ir 0.2729 0.2729 0.7600  1 Se 2.51, 4 Ir 2.64-2.77, 2 Mo 2.81
3 Ir 0.7271 0.7271 0.2400  1 Se 2.51, 4 Ir 2.64-2.77, 2 Mo 2.81
4 Se 0.5000 0.5000 0.5000  2 Ir 2.51, 4 Mo 2.67


| no. | raw total energy (Ry per atom) |
| --- | --- |
| 1 | -0.324 |
| 2 | -0.345 |
| 3 | -0.391 |
| 4 | -0.638 |
| 5 | -0.278 |
| 6 | -0.405 |
| 7 | -0.206 |
| 8 | -0.362 |
| 9 | -0.214 |
| 10 | -0.518 |
| 11 | -0.293 |
| 12 | -0.578 |